The following is a GGA-PBE calculation of a relaxed NdZn crystal, from OQMD via LeMat-Bulk.

Cell lengths 8.0775, 7.5894, 4.7914 Å; angles 90.00, 90.00, 96.69 degrees
Last column: nearest neighbours and their distance in Å.
Element x y z (fractional)
Nd 0.3432 0.8351 0.0000  7 Zn 2.95-3.12, 3 Nd 3.21-3.29
Nd 0.9710 0.5122 0.0000  1 Zn 3.04, 4 Nd 3.29
Zn 0.7007 0.0136 0.0000  3 Zn 2.64-2.82
Zn 0.1924 0.0179 0.5000  3 Zn 2.64-2.74
Nd 0.8353 0.7940 0.5000  9 Zn 3.03-3.33, 1 Nd 3.21
Zn 0.6060 0.4480 0.5000  2 Zn 2.68, 1 Nd 2.95
Nd 0.2512 0.5434 0.5000  1 Zn 3.04, 4 Nd 3.29
Nd 0.3871 0.2616 0.0000  9 Zn 3.03-3.33, 1 Nd 3.21
Zn 0.0298 0.0377 0.0000  3 Zn 2.64-2.74
Nd 0.8788 0.2205 0.5000  7 Zn 2.95-3.12, 3 Nd 3.21-3.29
Zn 0.6162 0.6081 0.0000  2 Zn 2.68, 1 Nd 2.95
Zn 0.5214 0.0412 0.5000  3 Zn 2.64-2.82

## Properties
Size of the total moment: 0.0 μB per cell
DFT total energy: -3.189 eV per atom
Formation energy: -0.17 eV/atom